This record from Alexandria describes a geometry-optimized SnWF2 structure. The functional is PBE+U.

Cell: 4.5347 4.5347 4.5347 Å, 60.00 60.00 60.00°
Last column: nearest neighbours and their distance in Å.
Atoms (fractional coordinates):
Sn  0.0000  0.0000  0.0000  8 F 2.78
W  0.5000  0.5000  0.5000  8 F 2.78
F  0.2500  0.2500  0.2500  4 W 2.78, 4 Sn 2.78
F  0.7500  0.7500  0.7500  4 W 2.78, 4 Sn 2.78

D(E_F) = 0.1853 states/eV per atom
M_tot = 0.000 μB/f.u.
Relative energy among the computed polymorphs = 825.4 meV/atom